Model P:
DFT (GGA-PBEsol) results for a relaxed Fe2SiO4 crystal.

The structure belongs to space group Fd-3m (No. 227, origin choice 2); the cell edges are 8.1524, 8.1524 and 8.1524 Å and the angles 90.00°, 90.00° and 90.00°. The asymmetric unit holds Fe at (0.0000, 0.0000, 0.0000), Si at (0.1250, 0.1250, 0.6250) and O at (0.0079, 0.0079, 0.7421).



Model Q:
DFT (GGA-PBEsol) results for a relaxed Fe2SiO4 crystal.

The structure belongs to space group Pnma (No. 62); the cell edges are 9.5698, 5.6283 and 4.9761 Å and the angles 90.00°, 90.00° and 90.00°. The asymmetric unit holds Fe at (0.0000, 0.0000, 0.0000), Fe at (0.2417, 0.2500, 0.4967), Si at (0.0965, 0.7500, 0.4304), O at (0.0650, 0.2500, 0.6910), O at (0.0953, 0.7500, 0.7575) and O at (0.1728, 0.5195, 0.2809).



Which of them is most stable? Easy: model P.